# 1
First-principles (PBE) data for a relaxed structure of LaZrFe2Co, as listed in Alexandria via LeMat-Bulk.

Output
Energy relative to the elements (meV/atom): 1536
Total magnetic moment (μB/atom): 0.96

abc: 4.5610 4.5610 5.6717
angles: 90.00 90.00 90.00
Space group P4/mmm (No. 123)
Symmetry-distinct sites (fractional):
La  0.0000  0.0000  0.0000 x1
Zr  0.0000  0.0000  0.5000 x1
Fe  0.0000  0.5000  0.5000 x2
Co  0.5000  0.5000  0.0000 x1

***

# 2
First-principles (PBE) data for a relaxed structure of LiFeCo2, as listed in Alexandria via LeMat-Bulk.

Output
ΔE to the lowest computed polymorph (meV/atom): 53.9
Energy relative to the elements (meV/atom): 132
Total magnetic moment (μB/atom): 1.43

abc: 2.6837 4.0962 8.5012
angles: 90.00 90.00 90.00
Space group Cmm2 (No. 35)
Symmetry-distinct sites (fractional):
Li  0.0000  0.0000  0.0000 x2
Fe  0.0000  0.5000  0.2668 x2
Co  0.0000  0.0000  0.5065 x2
Co  0.0000  0.5000  0.7434 x2

***

# 3
First-principles (PBE) data for a relaxed structure of LiFeCo2, as listed in Alexandria via LeMat-Bulk.

Output
ΔE to the lowest computed polymorph (meV/atom): 26.4
Energy relative to the elements (meV/atom): 104
Total magnetic moment (μB/atom): 1.41

abc: 2.4131 3.9842 4.7352
angles: 90.00 98.59 90.00
Space group P2/m (No. 10)
Symmetry-distinct sites (fractional):
Li  0.0000  0.0000  0.0000 x1
Fe  0.5000  0.0000  0.5000 x1
Co  0.2529  0.5000  0.7502 x2

***

# 4
First-principles (PBE) data for a relaxed structure of Li2FeCo, as listed in Alexandria via LeMat-Bulk.

Output
ΔE to the lowest computed polymorph (meV/atom): 24.5
Energy relative to the elements (meV/atom): 167
Total magnetic moment (μB/atom): 0.85

abc: 2.4852 2.4852 26.7834
angles: 90.00 90.00 120.00
Space group R-3m (No. 166, hexagonal axes)
Symmetry-distinct sites (fractional):
Li  0.0000  0.0000  0.2478 x6
Fe  0.0000  0.0000  0.0000 x3
Co  0.0000  0.0000  0.5000 x3

***

# 5
First-principles (PBE) data for a relaxed structure of Li2FeCo, as listed in Alexandria via LeMat-Bulk.

Output
ΔE to the lowest computed polymorph (meV/atom): 429.6
Energy relative to the elements (meV/atom): 572
Total magnetic moment (μB/atom): 1.07

abc: 6.6528 6.6528 4.6850
angles: 90.00 90.00 90.00
Space group I-42d (No. 122)
Symmetry-distinct sites (fractional):
Li  0.2411  0.2500  0.1250 x8
Fe  0.0000  0.0000  0.5000 x4
Co  0.0000  0.0000  0.0000 x4

***

# 6
First-principles (PBE) data for a relaxed structure of LiFeCo2, as listed in Alexandria via LeMat-Bulk.

Output
ΔE to the lowest computed polymorph (meV/atom): 52.0
Energy relative to the elements (meV/atom): 130
Total magnetic moment (μB/atom): 1.26

abc: 5.6104 5.6104 5.6104
angles: 90.00 90.00 90.00
Space group Fm-3m (No. 225)
Symmetry-distinct sites (fractional):
Li  0.0000  0.0000  0.0000 x4
Fe  0.0000  0.0000  0.5000 x4
Co  0.2500  0.2500  0.2500 x8

***

# 7
First-principles (PBE) data for a relaxed structure of Li2FeCo, as listed in Alexandria via LeMat-Bulk.

Output
ΔE to the lowest computed polymorph (meV/atom): 9.4
Energy relative to the elements (meV/atom): 152
Total magnetic moment (μB/atom): 0.95

abc: 2.5458 2.5458 27.1704
angles: 90.00 90.00 120.00
Space group R3m (No. 160, hexagonal axes)
Symmetry-distinct sites (fractional):
Li  0.0000  0.0000  0.0000 x3
Li  0.0000  0.0000  0.2370 x3
Fe  0.0000  0.0000  0.7491 x3
Co  0.0000  0.0000  0.4909 x3

***

# 8
First-principles (PBE) data for a relaxed structure of LiFeCo2, as listed in Alexandria via LeMat-Bulk.

Output
ΔE to the lowest computed polymorph (meV/atom): 77.7
Energy relative to the elements (meV/atom): 156
Total magnetic moment (μB/atom): 1.41

abc: 2.4142 3.7529 4.9916
angles: 90.00 90.00 90.00
Space group Pmmm (No. 47)
Symmetry-distinct sites (fractional):
Li  0.0000  0.0000  0.0000 x1
Fe  0.0000  0.0000  0.5000 x1
Co  0.5000  0.5000  0.2483 x2

***

# 9
First-principles (PBE) data for a relaxed structure of Li2FeCo, as listed in Alexandria via LeMat-Bulk.

Output
ΔE to the lowest computed polymorph (meV/atom): 107.6
Energy relative to the elements (meV/atom): 250
Total magnetic moment (μB/atom): 0.93

abc: 4.7951 8.5425 2.3796
angles: 90.00 90.00 90.00
Space group Cmmm (No. 65)
Symmetry-distinct sites (fractional):
Li  0.2500  0.2500  0.0000 x4
Fe  0.0000  0.0000  0.5000 x2
Co  0.0000  0.5000  0.5000 x2

***

# 10
First-principles (PBE) data for a relaxed structure of Li2FeCo, as listed in Alexandria via LeMat-Bulk.

Output
ΔE to the lowest computed polymorph (meV/atom): 24.0
Energy relative to the elements (meV/atom): 166
Total magnetic moment (μB/atom): 0.98

abc: 2.4371 3.9846 5.2824
angles: 90.00 101.12 90.00
Space group Pm (No. 6)
Symmetry-distinct sites (fractional):
Li  0.0000  0.0000  0.0000 x1
Li  0.2679  0.5000  0.7523 x1
Fe  0.5043  0.0000  0.4631 x1
Co  0.7893  0.5000  0.2830 x1

***

# 11
First-principles (PBE) data for a relaxed structure of LiFeCo2, as listed in Alexandria via LeMat-Bulk.

Output
ΔE to the lowest computed polymorph (meV/atom): 81.0
Energy relative to the elements (meV/atom): 159
Total magnetic moment (μB/atom): 1.37

abc: 2.4830 2.4830 7.6978
angles: 90.00 90.00 90.00
Space group P4mm (No. 99)
Symmetry-distinct sites (fractional):
Li  0.0000  0.0000  0.0000 x1
Fe  0.5000  0.5000  0.7184 x1
Co  0.0000  0.0000  0.4833 x1
Co  0.5000  0.5000  0.2647 x1

***

# 12
First-principles (PBE) data for a relaxed structure of Li2FeCo, as listed in Alexandria via LeMat-Bulk.

Output
ΔE to the lowest computed polymorph (meV/atom): 92.7
Energy relative to the elements (meV/atom): 235
Total magnetic moment (μB/atom): 0.90

abc: 3.3755 3.3755 8.5080
angles: 90.00 90.00 90.00
Space group I4/mmm (No. 139)
Symmetry-distinct sites (fractional):
Li  0.0000  0.5000  0.2500 x4
Fe  0.0000  0.0000  0.0000 x2
Co  0.0000  0.0000  0.5000 x2

***

# 13
First-principles (PBE) data for a relaxed structure of Li2FeCo, as listed in Alexandria via LeMat-Bulk.

Output
ΔE to the lowest computed polymorph (meV/atom): 63.4
Energy relative to the elements (meV/atom): 206
Total magnetic moment (μB/atom): 0.92

abc: 8.3342 2.4108 4.9589
angles: 90.00 93.65 90.00
Space group Cm (No. 8)
Symmetry-distinct sites (fractional):
Li  0.0000  0.0000  0.0000 x2
Li  0.2452  0.0000  0.7565 x2
Fe  0.2504  0.5000  0.2874 x2
Co  0.4971  0.0000  0.4733 x2

***

# 14
First-principles (PBE) data for a relaxed structure of Li2FeCo, as listed in Alexandria via LeMat-Bulk.

Output
ΔE to the lowest computed polymorph (meV/atom): 98.4
Energy relative to the elements (meV/atom): 241
Total magnetic moment (μB/atom): 0.94

abc: 2.3858 4.2614 4.8037
angles: 90.00 90.00 90.00
Space group Pmmm (No. 47)
Symmetry-distinct sites (fractional):
Li  0.0000  0.0000  0.2453 x2
Fe  0.5000  0.5000  0.5000 x1
Co  0.5000  0.5000  0.0000 x1

***

# 15
First-principles (PBE) data for a relaxed structure of LiFeCo2, as listed in Alexandria via LeMat-Bulk.

Output
ΔE to the lowest computed polymorph (meV/atom): 79.0
Energy relative to the elements (meV/atom): 157
Total magnetic moment (μB/atom): 1.43

abc: 5.6287 5.6287 5.6287
angles: 90.00 90.00 90.00
Space group F-43m (No. 216)
Symmetry-distinct sites (fractional):
Li  0.0000  0.0000  0.0000 x4
Fe  0.2500  0.2500  0.2500 x4
Co  0.0000  0.0000  0.5000 x4
Co  0.2500  0.2500  0.7500 x4

***

# 16
First-principles (PBE) data for a relaxed structure of LiFeCo2, as listed in Alexandria via LeMat-Bulk.

Output
ΔE to the lowest computed polymorph (meV/atom): 0.0
Energy relative to the elements (meV/atom): 78
Total magnetic moment (μB/atom): 1.46

abc: 2.8119 4.0310 8.2710
angles: 90.00 90.00 90.00
Space group Cmmm (No. 65)
Symmetry-distinct sites (fractional):
Li  0.0000  0.0000  0.0000 x2
Fe  0.0000  0.0000  0.5000 x2
Co  0.0000  0.5000  0.2618 x4

***

# 17
First-principles (PBE) data for a relaxed structure of Li2FeCo, as listed in Alexandria via LeMat-Bulk.

Output
ΔE to the lowest computed polymorph (meV/atom): 96.3
Energy relative to the elements (meV/atom): 238
Total magnetic moment (μB/atom): 0.97

abc: 5.7609 5.7609 5.7609
angles: 90.00 90.00 90.00
Space group F-43m (No. 216)
Symmetry-distinct sites (fractional):
Li  0.0000  0.0000  0.0000 x4
Li  0.2500  0.2500  0.2500 x4
Fe  0.2500  0.2500  0.7500 x4
Co  0.0000  0.0000  0.5000 x4

***

# 18
First-principles (PBE) data for a relaxed structure of Li2FeCo, as listed in Alexandria via LeMat-Bulk.

Output
ΔE to the lowest computed polymorph (meV/atom): 43.7
Energy relative to the elements (meV/atom): 186
Total magnetic moment (μB/atom): 0.91

abc: 2.6632 4.0709 4.4466
angles: 90.00 90.00 90.00
Space group Pmmm (No. 47)
Symmetry-distinct sites (fractional):
Li  0.0000  0.0000  0.0000 x1
Li  0.5000  0.5000  0.0000 x1
Fe  0.0000  0.5000  0.5000 x1
Co  0.5000  0.0000  0.5000 x1

***

# 19
First-principles (PBE) data for a relaxed structure of LiFeCo2, as listed in Alexandria via LeMat-Bulk.

Output
ΔE to the lowest computed polymorph (meV/atom): 61.0
Energy relative to the elements (meV/atom): 139
Total magnetic moment (μB/atom): 1.32

abc: 4.0465 4.0465 2.7127
angles: 90.00 90.00 90.00
Space group P4/mmm (No. 123)
Symmetry-distinct sites (fractional):
Li  0.0000  0.0000  0.0000 x1
Fe  0.5000  0.5000  0.0000 x1
Co  0.0000  0.5000  0.5000 x2

***

# 20
First-principles (PBE) data for a relaxed structure of Li2FeCo, as listed in Alexandria via LeMat-Bulk.

Output
ΔE to the lowest computed polymorph (meV/atom): 40.8
Energy relative to the elements (meV/atom): 183
Total magnetic moment (μB/atom): 1.01

abc: 2.8895 2.8895 6.7454
angles: 90.00 90.00 90.00
Space group P4mm (No. 99)
Symmetry-distinct sites (fractional):
Li  0.0000  0.0000  0.0000 x1
Li  0.5000  0.5000  0.3113 x1
Fe  0.5000  0.5000  0.7295 x1
Co  0.0000  0.0000  0.5599 x1